The following is a DFT calculation (GGA-PBE) of a relaxed structure of TlRe2.

- ΔE_f (eV/atom) = 0.54
- symmetry = Cmcm (63)
- energy above the lowest structure with this stoichiometry (meV per atom) = 0

```
TlRe2
1.0
1.432 -10.046 0.000
1.432 10.046 0.000
0.000 0.000 4.278
Tl Re
2 4
Direct
0.187 0.813 0.750
0.813 0.187 0.250
0.077 0.923 0.250
0.462 0.538 0.250
0.538 0.462 0.750
0.923 0.077 0.750
```


The following is a DFT calculation (GGA-PBE) of a relaxed structure of Mg2BeMoC.

- ΔE_f (eV/atom) = 2.44
- symmetry = P4/mmm (123)

```
Mg2BeMoC
1.0
5.131 0.000 0.000
0.000 5.131 0.000
0.000 0.000 4.204
Mg Be Mo C
2 1 1 1
Direct
0.000 0.500 0.000
0.500 0.000 0.000
0.000 0.000 0.500
0.000 0.000 0.000
0.500 0.500 0.500
```


no.,DOS at the Fermi energy (states/eV/f.u.),size of the total moment (μB/f.u.)
1,3.15,0.00
2,4.94,0.48